DFT (PBE) results for an optimized crystal structure of RbTl2Pt2.

Cell and atoms, written as CIF:
```
data_RbTl2Pt2
_chemical_formula_sum 'Rb2 Tl4 Pt4'
_space_group_name_H-M_alt 'I 4/m m m'
_space_group_IT_number 139
_space_group_name_Hall '-I 4 2'
_cell_length_a 3.978
_cell_length_b 3.978
_cell_length_c 18.019
_cell_angle_alpha 90.00
_cell_angle_beta 90.00
_cell_angle_gamma 90.00
loop_
_atom_site_label
_atom_site_type_symbol
_atom_site_fract_x
_atom_site_fract_y
_atom_site_fract_z
Rb1 Rb 0.000 0.000 0.000
Tl1 Tl 0.000 0.000 0.362
Pt1 Pt 0.000 0.500 0.250
```

Output
Calculated volume: 28.51 Å³/atom
Total energy: -3.70 eV per atom
Size of the total moment: 0.0 μB per cell
Distance to the lowest polymorph of the same formula: 3 meV/atom